Record 1
CoSe4Cl | PBE | optimized geometry

It has space group F-43m (No. 216), with a = 7.9921 Å, b = 7.9921 Å, c = 7.9921 Å, α = 90.00°, β = 90.00° and γ = 90.00°. The distinct sites, in fractional coordinates, are Co at (0.0000, 0.0000, 0.0000), Se at (0.1247, 0.1247, 0.6247) and Cl at (0.2500, 0.2500, 0.2500).

Its energy relative to the lowest polymorph listed for this composition is 807 meV/atom. The value obtained for the density of states at the Fermi level is 1.588 states/eV per atom. The calculation puts the formation energy without anion corrections at 758 meV/atom. The electronic total energy comes out at -3.06 eV per atom.

=====

Record 2
CoSe3Cl | PBE | optimized geometry

It has space group Pm-3m (No. 221), with a = 4.7301 Å, b = 4.7301 Å, c = 4.7301 Å, α = 90.00°, β = 90.00° and γ = 90.00°. The distinct sites, in fractional coordinates, are Co at (0.0000, 0.0000, 0.0000), Se at (0.0000, 0.0000, 0.5000) and Cl at (0.5000, 0.5000, 0.5000).

Its energy relative to the lowest polymorph listed for this composition is 627 meV/atom. The value obtained for the density of states at the Fermi level is 1.521 states/eV per atom. The calculation puts the formation energy without anion corrections at 419 meV/atom. The electronic total energy comes out at -3.46 eV per atom.

=====

What is the formula in the second record?
CoSe3Cl